{"formula": "LaDy2YTl2", "functional": "PBE", "state": "optimized geometry", "lattice_angstrom": [[-2.859, -2.131, 3.793], [0.859, -6.146, -2.805], [8.387, -1.364, 5.556]], "species": ["La", "La", "Dy", "Dy", "Dy", "Dy", "Tl", "Tl", "Tl", "Tl", "Y", "Y"], "frac_coords": [[0.000, 0.957, 0.458], [0.000, 0.457, 0.542], [0.000, 0.334, 0.180], [0.000, 0.834, 0.820], [0.500, 0.050, 0.044], [0.500, 0.550, 0.956], [0.500, 0.222, 0.358], [0.000, 0.299, 0.867], [0.000, 0.799, 0.133], [0.500, 0.722, 0.642], [0.500, 0.684, 0.305], [0.500, 0.184, 0.695]], "m_tot_mub_per_fu": 0.0, "formation_enthalpy_0k_ev_per_atom": -0.279, "spacegroup": "Pmc2_1"}